1.
# PBE Tb2Nd7Mg2, optimized geometry
# raw total energy: -4.034 eV/atom
# volume: 730.56 Å³ per cell
data_Tb2Nd7Mg2
_cell_length_a 11.963
_cell_length_b 11.168
_cell_length_c 5.882
_cell_angle_alpha 90.00
_cell_angle_beta 111.63
_cell_angle_gamma 90.00
_symmetry_space_group_name_H-M 'C 1 2/m 1'
_symmetry_Int_Tables_number 12
loop_
_symmetry_equiv_pos_as_xyz
'x,y,z'
'-x,-y,-z'
'-x,y,-z'
'x,-y,z'
'x+1/2,y+1/2,z'
'-x+1/2,-y+1/2,-z'
'-x+1/2,y+1/2,-z'
'x+1/2,-y+1/2,z'
loop_
_atom_site_label
_atom_site_type_symbol
_atom_site_fract_x
_atom_site_fract_y
_atom_site_fract_z
_atom_site_occupancy
Tb1 Tb 0.000 0.221 0.000 1
Nd1 Nd 0.000 0.000 0.500 1
Nd2 Nd 0.194 0.208 0.688 1
Nd3 Nd 0.234 0.000 0.163 1
Mg1 Mg 0.060 0.500 0.280 1

---

2.
# PBE Ni12GeH4, optimized geometry
# raw total energy: -5.109 eV/atom
# volume: 313.62 Å³ per cell
data_Ni12GeH4
_cell_length_a 6.794
_cell_length_b 6.794
_cell_length_c 6.794
_cell_angle_alpha 90.00
_cell_angle_beta 90.00
_cell_angle_gamma 90.00
_symmetry_space_group_name_H-M 'I m -3'
_symmetry_Int_Tables_number 204
_symmetry_space_group_name_Hall '-I 2 2 3'
loop_
_atom_site_label
_atom_site_type_symbol
_atom_site_fract_x
_atom_site_fract_y
_atom_site_fract_z
_atom_site_occupancy
Ni1 Ni 0.000 0.314 0.182 1
Ge1 Ge 0.000 0.000 0.000 1
H1 H 0.250 0.250 0.250 1

---

3.
# PBE Rb2GeB, optimized geometry
# raw total energy: -2.906 eV/atom
# volume: 655.89 Å³ per cell
data_Rb2GeB
_cell_length_a 13.164
_cell_length_b 13.164
_cell_length_c 3.785
_cell_angle_alpha 90.00
_cell_angle_beta 90.00
_cell_angle_gamma 90.00
_symmetry_space_group_name_H-M 'I -4 2 d'
_symmetry_Int_Tables_number 122
_symmetry_space_group_name_Hall 'I -4 2bw'
loop_
_atom_site_label
_atom_site_type_symbol
_atom_site_fract_x
_atom_site_fract_y
_atom_site_fract_z
_atom_site_occupancy
Rb1 Rb 0.035 0.250 0.125 1
Ge1 Ge 0.000 0.000 0.500 1
B1 B 0.000 0.000 0.000 1

---

4.
# PBE TaCrAu2, optimized geometry
# raw total energy: -6.723 eV/atom
# volume: 270.63 Å³ per cell
data_TaCrAu2
_cell_length_a 6.468
_cell_length_b 6.468
_cell_length_c 6.468
_cell_angle_alpha 90.00
_cell_angle_beta 90.00
_cell_angle_gamma 90.00
_symmetry_space_group_name_H-M 'F -4 3 m'
_symmetry_Int_Tables_number 216
_symmetry_space_group_name_Hall 'F -4 2 3'
loop_
_atom_site_label
_atom_site_type_symbol
_atom_site_fract_x
_atom_site_fract_y
_atom_site_fract_z
_atom_site_occupancy
Ta1 Ta 0.000 0.000 0.000 1
Cr1 Cr 0.250 0.250 0.750 1
Au1 Au 0.000 0.000 0.500 1
Au2 Au 0.250 0.250 0.250 1

---

5.
# PBE InNi4B, optimized geometry
# raw total energy: -5.599 eV/atom
# volume: 278.59 Å³ per cell
data_InNi4B
_cell_length_a 4.401
_cell_length_b 5.335
_cell_length_c 11.866
_cell_angle_alpha 90.00
_cell_angle_beta 90.00
_cell_angle_gamma 90.00
_symmetry_space_group_name_H-M 'I m m m'
_symmetry_Int_Tables_number 71
_symmetry_space_group_name_Hall '-I 2 2'
loop_
_atom_site_label
_atom_site_type_symbol
_atom_site_fract_x
_atom_site_fract_y
_atom_site_fract_z
_atom_site_occupancy
In1 In 0.000 0.000 0.200 1
Ni1 Ni 0.000 0.223 0.000 1
Ni2 Ni 0.000 0.256 0.390 1
Ni3 Ni 0.000 0.500 0.168 1
B1 B 0.202 0.000 0.500 1

---

6.
# PBE PmHo7Mg4, optimized geometry
# raw total energy: -3.367 eV/atom
# volume: 725.68 Å³ per cell
data_PmHo7Mg4
_cell_length_a 13.592
_cell_length_b 5.689
_cell_length_c 11.278
_cell_angle_alpha 90.00
_cell_angle_beta 123.68
_cell_angle_gamma 90.00
_symmetry_space_group_name_H-M 'C 1 2/m 1'
_symmetry_Int_Tables_number 12
loop_
_symmetry_equiv_pos_as_xyz
'x,y,z'
'-x,-y,-z'
'-x,y,-z'
'x,-y,z'
'x+1/2,y+1/2,z'
'-x+1/2,-y+1/2,-z'
'-x+1/2,y+1/2,-z'
'x+1/2,-y+1/2,z'
loop_
_atom_site_label
_atom_site_type_symbol
_atom_site_fract_x
_atom_site_fract_y
_atom_site_fract_z
_atom_site_occupancy
Pm1 Pm 0.000 0.000 0.000 1
Ho1 Ho 0.000 0.500 0.000 1
Ho2 Ho 0.056 0.000 0.383 1
Ho3 Ho 0.174 0.500 0.613 1
Ho4 Ho 0.220 0.000 0.880 1
Mg1 Mg 0.065 0.500 0.783 1
Mg2 Mg 0.187 0.500 0.335 1

---

Question: Look up the raw total energy of the first one.
Answer: -4.034 eV/atom

---

Question: Which value of volume does entry 3 give?
Answer: 655.89 Å³ per cell

---

Copy entry 4 word for word.
# PBE TaCrAu2, optimized geometry
# raw total energy: -6.723 eV/atom
# volume: 270.63 Å³ per cell
data_TaCrAu2
_cell_length_a 6.468
_cell_length_b 6.468
_cell_length_c 6.468
_cell_angle_alpha 90.00
_cell_angle_beta 90.00
_cell_angle_gamma 90.00
_symmetry_space_group_name_H-M 'F -4 3 m'
_symmetry_Int_Tables_number 216
_symmetry_space_group_name_Hall 'F -4 2 3'
loop_
_atom_site_label
_atom_site_type_symbol
_atom_site_fract_x
_atom_site_fract_y
_atom_site_fract_z
_atom_site_occupancy
Ta1 Ta 0.000 0.000 0.000 1
Cr1 Cr 0.250 0.250 0.750 1
Au1 Au 0.000 0.000 0.500 1
Au2 Au 0.250 0.250 0.250 1